w | Computed, not measured: LiTl3Cd after structural relaxation at the GGA-PBE level of DFT.

Cell: 7.847 7.847 6.709 Å, 90.00 90.00 139.48°
Fractional positions:
Li 0.129 0.871 0.750
Li 0.871 0.129 0.250
Tl 0.089 0.911 0.250
Tl 0.312 0.688 0.502
Tl 0.312 0.688 0.998
Tl 0.688 0.312 0.002
Tl 0.688 0.312 0.498
Tl 0.911 0.089 0.750
Cd 0.489 0.511 0.250
Cd 0.511 0.489 0.750

Output
ρ in g/cm3: 9.1
Total moment in Bohr magnetons per cell: 0.000

***

x | Computed, not measured: LiTl3Cd after structural relaxation at the GGA-PBE level of DFT.

Cell: 5.679 5.679 5.679 Å, 90.00 90.00 90.00°
Fractional positions:
Li 0.000 0.000 0.000
Tl 0.000 0.500 0.500
Tl 0.500 0.000 0.500
Tl 0.500 0.500 0.000
Cd 0.500 0.500 0.500

Output
ρ in g/cm3: 6.6
Total moment in Bohr magnetons per cell: 0.000

***

Relative to the most stable one, in eV/atom, the structures come out at w 0.000; x 0.322.